Record 1
Material: HgSbSeN2
Method: DFT, PBE-GGA
State: relaxed

For the formation energy from raw total energies, the calculation gives 1.127 eV per atom. For the magnetic moment, the calculation gives 0.142 μB/atom.

Lattice parameters (Å, degrees): 4.0211 4.0211 5.9979 90.00 90.00 90.00
Space group P4/mmm (No. 123)
Symmetry-distinct sites (fractional):
Hg  0.0000  0.0000  0.0000 x1
Sb  0.5000  0.5000  0.5000 x1
Se  0.5000  0.5000  0.0000 x1
N  0.0000  0.5000  0.5000 x2

Record 2
Material: LiCrTc2
Method: DFT, PBE-GGA
State: relaxed

For the magnetic moment, the calculation gives 0.000 μB/atom. The energy relative to the elements comes out at 0.21 eV/atom.

Lattice parameters (Å, degrees): 2.5663 4.0801 5.1090 90.00 98.35 90.00
Space group P2/m (No. 10)
Symmetry-distinct sites (fractional):
Li  0.0000  0.0000  0.0000 x1
Cr  0.5000  0.0000  0.5000 x1
Tc  0.2760  0.5000  0.7535 x2

Record 3
Material: SrTh2Tl3
Method: DFT, PBE-GGA
State: relaxed

For the magnetic moment, the calculation gives 0.000 μB/atom. The energy relative to the elements comes out at -0.21 eV/atom.

Lattice parameters (Å, degrees): 3.6138 3.6138 13.9574 90.00 90.00 90.00
Space group P4/mmm (No. 123)
Symmetry-distinct sites (fractional):
Sr  0.0000  0.0000  0.0000 x1
Th  0.0000  0.0000  0.3369 x2
Tl  0.5000  0.5000  0.1732 x2
Tl  0.5000  0.5000  0.5000 x1

Record 4
Material: TmCd11Ni
Method: DFT, PBE-GGA
State: relaxed

For the magnetic moment, the calculation gives 0.000 μB/atom. The energy relative to the elements comes out at -0.04 eV/atom.

Lattice parameters (Å, degrees): 5.6809 14.1861 7.5112 90.00 111.83 90.00
Space group C2/m (No. 12)
Symmetry-distinct sites (fractional):
Tm  0.0000  0.0000  0.0000 x2
Cd  0.0000  0.0000  0.5000 x2
Cd  0.0910  0.3983  0.2152 x8
Cd  0.1918  0.1674  0.3578 x8
Cd  0.2500  0.2500  0.0000 x4
Ni  0.0000  0.5000  0.5000 x2

Record 5
Material: Hg2I2O
Method: DFT, PBE-GGA
State: relaxed

For the formation energy from raw total energies, the calculation gives -0.056 eV per atom. For the magnetic moment, the calculation gives 0.000 μB/atom.

Lattice parameters (Å, degrees): 3.5366 14.3979 13.2027 90.00 90.00 90.00
Space group Cmc2_1 (No. 36)
Symmetry-distinct sites (fractional):
Hg  0.0000  0.0339  0.0000 x4
Hg  0.0000  0.2173  0.8851 x4
I  0.0000  0.1262  0.6108 x4
I  0.0000  0.3825  0.7837 x4
O  0.0000  0.3743  0.4424 x4

Record 6
Material: LaTiCu
Method: DFT, PBE-GGA
State: relaxed

For the magnetic moment, the calculation gives 0.004 μB/atom. The energy relative to the elements comes out at 0.08 eV/atom.

Lattice parameters (Å, degrees): 5.4053 4.3608 5.7762 90.00 100.67 90.00
Space group P2_1/m (No. 11)
Symmetry-distinct sites (fractional):
La  0.0574  0.2500  0.2339 x2
Ti  0.4672  0.2500  0.8481 x2
Cu  0.4161  0.7500  0.5806 x2

Record 7
Material: Ce2NbS6
Method: DFT, PBE-GGA
State: relaxed

For the formation energy from raw total energies, the calculation gives -1.336 eV per atom. For the magnetic moment, the calculation gives 0.127 μB/atom.

Lattice parameters (Å, degrees): 6.2820 6.2820 11.8803 90.00 90.00 90.00
Space group P4_2/mnm (No. 136)
Symmetry-distinct sites (fractional):
Ce  0.0000  0.0000  0.1718 x4
Nb  0.0000  0.0000  0.5000 x2
S  0.1911  0.1911  0.3520 x8
S  0.2125  0.2125  0.0000 x4

Record 8
Material: CdPOsO2
Method: DFT, PBE-GGA
State: relaxed

For the formation energy from raw total energies, the calculation gives 1.229 eV per atom. For the magnetic moment, the calculation gives 0.692 μB/atom.

Lattice parameters (Å, degrees): 3.9136 3.9136 5.5985 90.00 90.00 90.00
Space group P4/mmm (No. 123)
Symmetry-distinct sites (fractional):
Cd  0.0000  0.0000  0.0000 x1
P  0.0000  0.0000  0.5000 x1
Os  0.5000  0.5000  0.5000 x1
O  0.0000  0.5000  0.0000 x2

Q: Among the records above, which one has the highest magnetic moment?
A: CdPOsO2